# BeNi2Os | Alexandria | PBE-GGA | relaxed
# calculated density: 11.54 g/cm³
# formation energy: -18.8 meV per atom
data_BeNi2Os
_space_group_name_H-M_alt 'C m m m'
_space_group_IT_number 65
_space_group_name_Hall '-C 2 2'
_cell_length_a 4.8739
_cell_length_b 7.3558
_cell_length_c 2.5421
_cell_angle_alpha 90.00
_cell_angle_beta 90.00
_cell_angle_gamma 90.00
loop_
_atom_site_label
_atom_site_fract_x
_atom_site_fract_y
_atom_site_fract_z
_atom_site_occupancy
Be1 0.0000 0.0000 0.0000 1
Ni1 0.2500 0.2500 0.5000 1
Os1 0.0000 0.5000 0.0000 1